A plane-wave DFT calculation with GGA+U was carried out for crystalline Ce2FeO5 at its relaxed geometry.

Calculated values
Energy (eV per atom): -8.132
Magnetic moment (μB per cell): 15.73

Cell: 3.794 10.690 11.506 Å, 90.00 90.00 90.00°
Last column: magnetic moment on the atom in μB.
Atoms (fractional coordinates):
O: 0.250 0.767 0.221  0.10
O: 0.250 0.247 0.617  0.17
O: 0.250 0.267 0.279  0.10
O: 0.250 0.717 0.548  0.10
O: 0.250 0.217 0.952  0.10
O: 0.750 0.016 0.403  0.02
O: 0.750 0.733 0.721  0.10
O: 0.750 0.233 0.779  0.10
O: 0.250 0.484 0.903  0.02
O: 0.250 0.747 0.883  0.17
O: 0.250 0.018 0.180  0.13
O: 0.750 0.253 0.117  0.17
O: 0.750 0.783 0.048  0.10
O: 0.750 0.283 0.452  0.10
O: 0.750 0.516 0.097  0.02
O: 0.250 0.518 0.320  0.13
O: 0.250 0.984 0.597  0.02
O: 0.750 0.982 0.820  0.13
O: 0.750 0.753 0.383  0.17
O: 0.750 0.482 0.680  0.13
Ce: 0.750 0.397 0.279  -0.39
Ce: 0.250 0.603 0.721  -0.39
Ce: 0.250 0.642 0.060  -0.43
Ce: 0.750 0.897 0.221  -0.39
Ce: 0.750 0.358 0.940  -0.43
Ce: 0.250 0.103 0.779  -0.39
Ce: 0.250 0.142 0.440  -0.43
Ce: 0.750 0.858 0.560  -0.43
Fe: 0.750 0.315 0.623  4.21
Fe: 0.250 0.185 0.123  4.21
Fe: 0.750 0.815 0.877  4.21
Fe: 0.250 0.685 0.377  4.21